A relaxed Na3HoCr2S6 crystal. Source: Alexandria via LeMat-Bulk, functional PBE-GGA.

Cell lengths 6.3918, 6.3918, 6.9766 Å; angles 98.87, 98.87, 120.02 degrees
With the nearest neighbours (Å) after each atom.
Fractional coordinates of all 12 atoms:
S (0.5678, 0.9302, 0.7922)  2 Cr 2.46-2.47, 1 Ho 2.70
S (0.2919, 0.2919, 0.7915)  2 Cr 2.47, 1 Ho 2.70, 1 Na 2.75
S (0.7081, 0.7081, 0.2085)  2 Cr 2.47, 1 Ho 2.70, 1 Na 2.75
S (0.9302, 0.5678, 0.7922)  2 Cr 2.46-2.47, 1 Ho 2.70
S (0.4322, 0.0698, 0.2078)  2 Cr 2.46-2.47, 1 Ho 2.70
S (0.0698, 0.4322, 0.2078)  2 Cr 2.46-2.47, 1 Ho 2.70
Ho (0.0000, 0.0000, 0.0000)  6 S 2.70
Cr (0.6672, 0.3328, 0.0000)  6 S 2.46-2.47
Cr (0.3328, 0.6672, 0.0000)  6 S 2.46-2.47
Na (0.1621, 0.8379, 0.5000)  6 S 2.77-2.97
Na (0.8379, 0.1621, 0.5000)  6 S 2.77-2.97
Na (0.5000, 0.5000, 0.5000)  6 S 2.75-2.95

Calculated values
Space-group type = C2/m
Formation energy from raw total energies = -1.213 eV/atom
Magnetic moment = 6.0 μB/f.u.

***

A relaxed Na3Ho3CrS8 crystal. Source: Alexandria via LeMat-Bulk, functional PBE-GGA.

Cell lengths 7.6855, 7.6862, 8.1157 Å; angles 118.30, 90.00, 120.00 degrees
With the nearest neighbours (Å) after each atom.
Fractional coordinates of all 15 atoms:
Ho (0.5000, 0.0000, 0.5000)  6 S 2.71-2.73
Ho (0.0000, 0.5000, 0.5000)  6 S 2.71-2.73
Ho (0.5000, 0.5000, 0.5000)  6 S 2.71-2.73
S (0.7796, 0.0120, 0.2919)  1 Cr 2.46, 2 Ho 2.73
S (0.7676, 0.9880, 0.7081)  1 Cr 2.46, 2 Ho 2.73
S (0.2204, 0.4409, 0.7082)  1 Cr 2.46, 2 Ho 2.73
S (0.7796, 0.5591, 0.2918)  1 Cr 2.46, 2 Ho 2.73
S (0.2204, 0.9880, 0.7081)  1 Cr 2.46, 2 Ho 2.73
S (0.7429, 0.4857, 0.7283)  3 Ho 2.71, 3 Na 2.88-2.89
S (0.2324, 0.0120, 0.2919)  1 Cr 2.46, 2 Ho 2.73
S (0.2571, 0.5143, 0.2717)  3 Ho 2.71, 3 Na 2.88-2.89
Na (0.5000, 0.5000, 0.0000)  6 S 2.89-2.90
Na (0.0000, 0.0000, 0.0000)  6 S 2.88-2.90
Na (0.0000, 0.5000, 0.0000)  6 S 2.89-2.90
Cr (0.0000, 0.0000, 0.5000)  6 S 2.46

Calculated values
Space-group type = R-3m
Formation energy from raw total energies = -1.518 eV/atom
N(E_F) = 8.21 states/eV per cell
Magnetic moment = 2.0 μB/f.u.